TlCoPO: optimized geometry, PBE+U.

Properties
Offset from the most stable computed form ... 291 meV/atom

a = 4.192 Å, b = 4.192 Å, c = 9.083 Å
α = 90.00°, β = 90.00°, γ = 90.00°
Atoms (fractional coordinates):
1 Tl 0.250 0.750 0.000
2 Tl 0.750 0.250 0.000
3 Co 0.250 0.250 0.489
4 Co 0.750 0.750 0.511
5 P 0.250 0.250 0.190
6 P 0.750 0.750 0.810
7 O 0.250 0.750 0.500
8 O 0.750 0.250 0.500